# FeAgPI2

Crystalline FeAgPI2 at its relaxed geometry (PBE-GGA, the Alexandria database).

volume	29.05	A^3/atom
crystal system	tetragonal
raw formation energy	0.56	eV/atom

abc: 5.8228 5.8228 4.2837
angles: 90.00 90.00 90.00
Atoms (fractional coordinates):
Fe 0.0000 0.0000 0.0000
Ag 0.5000 0.5000 0.0000
P 0.0000 0.0000 0.5000
I 0.0000 0.5000 0.5000
I 0.5000 0.0000 0.5000